No. 1
Ta2AlSi (GGA-PBE, relaxed); SG = Cmmm (65); energy above the most stable polymorph in this dataset = 0.073 eV/atom; total magnetization = 0.0 μB/f.u.
1.0
-1.912 -3.105 -3.274
1.476 -2.520 3.936
-2.563 0.337 1.177
Si Al Ta
1 1 2
direct
0.000 0.500 0.500
0.500 0.000 0.500
0.000 0.000 0.000
0.500 0.500 0.000


No. 2
ScBi2Au (GGA-PBE, relaxed); E_form = 175 meV per atom; SG = R-3m (166); total magnetization = 0.0 μB/f.u.
1.0
3.556 0.000 0.000
1.778 3.080 0.000
1.778 1.027 10.302
Sc Au Bi
1 1 2
direct
0.000 0.000 0.000
0.500 0.500 0.500
0.096 0.096 0.711
0.904 0.904 0.289


No. 3
CaMgRe2O (GGA-PBE, relaxed); VASP energy = -32.31 eV for the cell shown; SG = P4/mmm (123); total magnetization = 0.0 μB/f.u.
1.0
4.132 0.000 0.000
0.000 4.750 0.000
0.000 0.000 4.132
Re Ca Mg O
2 1 1 1
direct
0.000 0.000 0.500
0.500 0.000 0.000
0.500 0.500 0.500
0.000 0.500 0.000
0.000 0.000 0.000


No. 4
MgFe2Pb (GGA-PBE, relaxed); E_form = 450 meV per atom; SG = P4/mmm (123); total magnetization = 4.9 μB/f.u.
1.0
-0.290 -3.259 -1.006
3.127 0.149 -1.384
2.343 -1.783 5.100
Fe Mg Pb
2 1 1
direct
0.000 0.000 0.038
0.000 0.000 0.462
0.500 0.500 0.250
0.500 0.500 0.750


No. 5
Sm2Ga7Cu12 (GGA-PBE, relaxed); E_form = -226 meV per atom; SG = P-6 (174); total magnetization = 0.0 μB/f.u.
1.0
-0.979 -2.563 2.975
2.490 -7.386 -5.545
6.499 4.117 5.684
Sm Ga Cu
2 7 12
direct
0.500 0.000 0.000
0.000 0.667 0.333
0.000 0.333 0.667
0.000 0.111 0.814
0.000 0.703 0.889
0.000 0.186 0.297
0.500 0.654 0.581
0.500 0.927 0.346
0.500 0.419 0.073
0.500 0.931 0.618
0.500 0.686 0.069
0.500 0.382 0.314
0.500 0.238 0.756
0.500 0.518 0.762
0.500 0.244 0.482
0.000 0.039 0.516
0.000 0.477 0.961
0.000 0.484 0.523
0.000 0.816 0.706
0.000 0.889 0.184
0.000 0.294 0.111


No. 6
Ti6PbO12 (GGA-PBE, relaxed); VASP energy = -157.82 eV for the cell shown; SG = R-3m (166); total magnetization = 0.0 μB/f.u.
1.0
6.137 -0.020 -0.028
-1.541 5.941 -0.028
-1.541 -1.985 5.600
Ti Pb O
6 1 12
direct
0.618 0.235 0.235
0.235 0.235 0.618
0.235 0.618 0.235
0.765 0.765 0.382
0.382 0.765 0.765
0.765 0.382 0.765
0.000 0.000 0.000
0.874 0.126 0.500
0.814 0.546 0.546
0.546 0.546 0.814
0.454 0.186 0.454
0.454 0.454 0.186
0.186 0.454 0.454
0.126 0.500 0.874
0.500 0.874 0.126
0.126 0.874 0.500
0.874 0.500 0.126
0.500 0.126 0.874
0.546 0.814 0.546


No. 7
AlTlTe2H (GGA-PBE, relaxed); VASP energy = -13.12 eV for the cell shown; SG = P4/mmm (123); total magnetization = 1.0 μB/f.u.
1.0
5.382 0.000 0.000
0.000 5.753 0.000
0.000 0.000 5.382
H Tl Te Al
1 1 2 1
direct
0.500 0.500 0.500
0.000 0.500 0.000
0.000 0.000 0.500
0.500 0.000 0.000
0.000 0.000 0.000


No. 8
Li2PrTm2Sb2 (GGA-PBE, relaxed); VASP energy = -29.64 eV for the cell shown; SG = R-3m (166); total magnetization = 0.8 μB/f.u.
1.0
4.748 0.000 0.000
2.374 4.112 0.000
2.374 1.371 8.916
Li Pr Tm Sb
2 1 2 2
direct
0.587 0.587 0.240
0.413 0.413 0.760
0.000 0.000 0.000
0.132 0.132 0.603
0.868 0.868 0.397
0.741 0.741 0.778
0.259 0.259 0.222


No. 9
YPtCl (GGA-PBE, relaxed); SG = F-43m (216); energy above the most stable polymorph in this dataset = 0.604 eV/atom; total magnetization = 0.0 μB/f.u.
1.0
4.728 0.000 0.000
2.364 4.095 0.000
2.364 1.365 3.861
Cl Pt Y
1 1 1
direct
0.500 0.500 0.500
0.750 0.750 0.750
0.000 0.000 0.000


No. 10
SrIr2 (GGA-PBE, relaxed); E_form = 294 meV per atom; SG = Cmcm (63); total magnetization = 0.0 μB/f.u.
1.0
1.468 -11.048 0.000
1.468 11.048 0.000
0.000 0.000 4.283
Sr Ir
2 4
direct
0.335 0.665 0.750
0.665 0.335 0.250
0.568 0.432 0.750
0.962 0.038 0.750
0.038 0.962 0.250
0.432 0.568 0.250


total magnetization of number 3 (CaMgRe2O)?
0.0 μB/f.u.


Among the records above, which one has the highest total magnetization?
MgFe2Pb


Copy entry 5 word for word.
Sm2Ga7Cu12 (GGA-PBE, relaxed); E_form = -226 meV per atom; SG = P-6 (174); total magnetization = 0.0 μB/f.u.
1.0
-0.979 -2.563 2.975
2.490 -7.386 -5.545
6.499 4.117 5.684
Sm Ga Cu
2 7 12
direct
0.500 0.000 0.000
0.000 0.667 0.333
0.000 0.333 0.667
0.000 0.111 0.814
0.000 0.703 0.889
0.000 0.186 0.297
0.500 0.654 0.581
0.500 0.927 0.346
0.500 0.419 0.073
0.500 0.931 0.618
0.500 0.686 0.069
0.500 0.382 0.314
0.500 0.238 0.756
0.500 0.518 0.762
0.500 0.244 0.482
0.000 0.039 0.516
0.000 0.477 0.961
0.000 0.484 0.523
0.000 0.816 0.706
0.000 0.889 0.184
0.000 0.294 0.111